The following is a GGA-PBE calculation of TaAl4Ni5 after structural relaxation, from Alexandria via LeMat-Bulk.

Spin magnetization = 0.00 μB/f.u.
Calculated formation energy = -5.63 eV/f.u.

abc: 2.8456 2.8456 15.4781
angles: 90.00 90.00 90.00
Last column: nearest neighbours and their distance in Å.
Element x y z (fractional)
1 Ta 0.0000 0.0000 0.0000  8 Ni 2.73, 4 Ta 2.85
2 Al 0.0000 0.0000 0.2127  8 Ni 2.48-2.50
3 Al 0.0000 0.0000 0.4043  8 Ni 2.50
4 Al 0.0000 0.0000 0.5957  8 Ni 2.50
5 Al 0.0000 0.0000 0.7873  8 Ni 2.48-2.50
6 Ni 0.5000 0.5000 0.1192  4 Al 2.48, 4 Ta 2.73
7 Ni 0.5000 0.5000 0.3083  8 Al 2.50
8 Ni 0.5000 0.5000 0.5000  8 Al 2.50
9 Ni 0.5000 0.5000 0.6917  8 Al 2.50
10 Ni 0.5000 0.5000 0.8808  4 Al 2.48, 4 Ta 2.73